# 1
Density functional theory data (PBEsol) for crystalline Ba2Ga7Ag at its relaxed geometry.

Cell and atoms, written as CIF:
```
data_Ba2Ga7Ag
_symmetry_space_group_name_H-M 'P -4 m 2'
_symmetry_Int_Tables_number 115
_cell_length_a 4.499
_cell_length_b 4.499
_cell_length_c 10.807
_cell_angle_alpha 90.00
_cell_angle_beta 90.00
_cell_angle_gamma 90.00
loop_
_symmetry_equiv_pos_as_xyz
'x,y,z'
'y,-x,-z'
'-x,-y,z'
'-y,x,-z'
'-x,y,z'
'-y,-x,-z'
'x,-y,z'
'y,x,-z'
loop_
_atom_site_label
_atom_site_type_symbol
_atom_site_fract_x
_atom_site_fract_y
_atom_site_fract_z
Ba1 Ba 0.000 0.500 0.246
Ga1 Ga 0.000 0.000 0.000
Ga2 Ga 0.000 0.500 0.629
Ga3 Ga 0.000 0.500 0.871
Ga4 Ga 0.500 0.500 0.000
Ga5 Ga 0.500 0.500 0.500
Ag1 Ag 0.000 0.000 0.500
```

Results
* total moment: 0.00 μB/f.u.
* E: -35.401 eV/f.u.
* Fermi-level density of states: 3.27 states/eV per cell
* ΔE_f: -0.441 eV per atom

# 2
Density functional theory data (PBEsol) for crystalline Ba4Ga5AgSe12 at its relaxed geometry.

Cell and atoms, written as CIF:
```
data_Ba4Ga5AgSe12
_symmetry_space_group_name_H-M 'P -4'
_symmetry_Int_Tables_number 81
_cell_length_a 13.662
_cell_length_b 13.662
_cell_length_c 6.504
_cell_angle_alpha 90.00
_cell_angle_beta 90.00
_cell_angle_gamma 90.00
loop_
_symmetry_equiv_pos_as_xyz
'x,y,z'
'y,-x,-z'
'-x,-y,z'
'-y,x,-z'
loop_
_atom_site_label
_atom_site_type_symbol
_atom_site_fract_x
_atom_site_fract_y
_atom_site_fract_z
Ba1 Ba 0.023 0.288 0.464
Ba2 Ba 0.212 0.473 0.950
Ga1 Ga 0.000 0.000 0.000
Ga2 Ga 0.139 0.757 0.949
Ga3 Ga 0.257 0.637 0.445
Ga4 Ga 0.500 0.500 0.500
Ag1 Ag 0.000 0.500 0.197
Se1 Se 0.001 0.348 0.959
Se2 Se 0.083 0.896 0.755
Se3 Se 0.142 0.506 0.468
Se4 Se 0.195 0.787 0.294
Se5 Se 0.288 0.691 0.794
Se6 Se 0.396 0.581 0.253
```

Results
* total moment: 0.00 μB/f.u.
* E: -99.640 eV/f.u.
* formation energy from raw total energies: -1.129 eV per atom

# 3
Density functional theory data (PBEsol) for crystalline BaAg2Ge2 at its relaxed geometry.

Cell and atoms, written as CIF:
```
data_BaAg2Ge2
_symmetry_space_group_name_H-M 'I 4/m m m'
_symmetry_Int_Tables_number 139
_symmetry_space_group_name_Hall '-I 4 2'
_cell_length_a 4.564
_cell_length_b 4.564
_cell_length_c 10.630
_cell_angle_alpha 90.00
_cell_angle_beta 90.00
_cell_angle_gamma 90.00
loop_
_atom_site_label
_atom_site_type_symbol
_atom_site_fract_x
_atom_site_fract_y
_atom_site_fract_z
Ba1 Ba 0.000 0.000 0.000
Ag1 Ag 0.000 0.500 0.250
Ge1 Ge 0.000 0.000 0.381
```

Results
* total moment: 0.00 μB/f.u.
* E: -20.472 eV/f.u.
* Fermi-level density of states: 3.19 states/eV per cell
* ΔE_f: -0.365 eV per atom

# 4
Density functional theory data (PBEsol) for crystalline BaAgGe2 at its relaxed geometry.

Cell and atoms, written as CIF:
```
data_BaAgGe2
_symmetry_space_group_name_H-M 'F m -3 m'
_symmetry_Int_Tables_number 225
_symmetry_space_group_name_Hall '-F 4 2 3'
_cell_length_a 7.202
_cell_length_b 7.202
_cell_length_c 7.202
_cell_angle_alpha 90.00
_cell_angle_beta 90.00
_cell_angle_gamma 90.00
loop_
_atom_site_label
_atom_site_type_symbol
_atom_site_fract_x
_atom_site_fract_y
_atom_site_fract_z
Ba1 Ba 0.000 0.000 0.000
Ag1 Ag 0.000 0.000 0.500
Ge1 Ge 0.250 0.250 0.250
```

Results
* total moment: 0.00 μB/f.u.
* E: -15.351 eV/f.u.
* Fermi-level density of states: 6.76 states/eV per cell
* ΔE_f: -0.003 eV per atom

# 5
Density functional theory data (PBEsol) for crystalline Ba2Ag2Ge at its relaxed geometry.

Cell and atoms, written as CIF:
```
data_Ba2Ag2Ge
_symmetry_space_group_name_H-M 'I 4/m m m'
_symmetry_Int_Tables_number 139
_symmetry_space_group_name_Hall '-I 4 2'
_cell_length_a 3.881
_cell_length_b 3.881
_cell_length_c 19.386
_cell_angle_alpha 90.00
_cell_angle_beta 90.00
_cell_angle_gamma 90.00
loop_
_atom_site_label
_atom_site_type_symbol
_atom_site_fract_x
_atom_site_fract_y
_atom_site_fract_z
Ba1 Ba 0.000 0.000 0.103
Ag1 Ag 0.000 0.500 0.250
Ge1 Ge 0.000 0.000 0.500
```

Results
* total moment: 0.00 μB/f.u.
* E: -16.961 eV/f.u.
* Fermi-level density of states: 2.69 states/eV per cell
* ΔE_f: -0.220 eV per atom

# 6
Density functional theory data (PBEsol) for crystalline Ba2AgH2 at its relaxed geometry.

Cell and atoms, written as CIF:
```
data_Ba2AgH2
_symmetry_space_group_name_H-M 'I 4/m m m'
_symmetry_Int_Tables_number 139
_symmetry_space_group_name_Hall '-I 4 2'
_cell_length_a 4.173
_cell_length_b 4.173
_cell_length_c 14.307
_cell_angle_alpha 90.00
_cell_angle_beta 90.00
_cell_angle_gamma 90.00
loop_
_atom_site_label
_atom_site_type_symbol
_atom_site_fract_x
_atom_site_fract_y
_atom_site_fract_z
Ba1 Ba 0.000 0.000 0.145
Ag1 Ag 0.000 0.000 0.500
H1 H 0.000 0.500 0.250
```

Results
* total moment: 0.00 μB/f.u.
* E: -15.852 eV/f.u.
* Fermi-level density of states: 4.25 states/eV per cell